Computed, not measured: a relaxed Hg2OF crystal at the PBE-GGA level of DFT.

Unit cell a=4.2484 b=4.2484 c=17.9578 alpha=90.00 beta=90.00 gamma=120.00
Space group R-3m (No. 166, hexagonal axes)
Asymmetric unit:
Hg (0.0000, 0.0000, 0.1144) (multiplicity 6)
O (0.0000, 0.0000, 0.0000) (multiplicity 3)
F (0.0000, 0.0000, 0.5000) (multiplicity 3)

Calculated values
- formation energy from raw total energies (eV/atom) = -0.20
- raw total energy (eV/atom) = -2.059
- total magnetic moment (μB/atom) = 0.063